The following is a PBE calculation of a geometry-optimized Tb2Dy3TmSe6 structure, from Alexandria via LeMat-Bulk.

```
12
Lattice="8.8671 -2.0304 0.0000 8.8671 2.0304 0.0000 -1.8907 0.0000 7.9541" Properties=species:S:1:pos:R:3 pbc="T T T"
Tb 2.3465 0.0000 2.6677
Tb 13.4970 0.0000 5.2864
Dy 1.4215 0.0000 6.6236
Dy 7.9217 0.0000 3.9770
Dy 14.4220 0.0000 1.3305
Tm 8.8671 0.0000 0.0000
Se -1.4107 0.0000 6.0029
Se 5.1459 0.0000 3.3086
Se 4.2175 0.0000 7.3144
Se 11.6260 0.0000 0.6396
Se 10.6976 0.0000 4.6455
Se 17.2542 0.0000 1.9512
```

Results
calculated total energy: -69.3 eV/cell
raw formation energy: -1.742 eV per atom
SG: No. 12
M_tot: 0.00 μB/atom


The following is a PBE calculation of a geometry-optimized Tb3Dy4TmSe8 structure, from Alexandria via LeMat-Bulk.

```
16
Lattice="4.0761 2.3534 6.6570 -4.0761 2.3534 6.6570 0.0000 -4.7067 6.6570" Properties=species:S:1:pos:R:3 pbc="T T T"
Tb -2.0381 -1.1767 6.6570
Tb -2.0381 1.1767 13.3139
Tb 0.0000 2.3534 6.6570
Dy -4.0761 0.0000 9.9854
Dy -2.0381 1.1767 3.3285
Dy 2.0381 1.1767 3.3285
Dy 0.0000 0.0000 9.9854
Tm 0.0000 0.0000 0.0000
Se -2.0616 -1.1903 11.6553
Se 0.0000 -2.3806 8.3155
Se -2.0617 1.1903 8.3155
Se 0.0000 0.0000 4.9790
Se 0.0000 0.0000 14.9919
Se 2.0617 -1.1903 11.6553
Se 0.0000 2.3806 11.6553
Se 2.0617 1.1903 8.3155
```

Results
calculated total energy: -92.5 eV/cell
raw formation energy: -1.741 eV per atom
SG: No. 166
M_tot: 0.00 μB/atom


The following is a PBE calculation of a geometry-optimized TbDy2TmSe6 structure, from Alexandria via LeMat-Bulk.

```
10
Lattice="3.5940 2.0750 6.4718 -3.5940 2.0750 6.4718 0.0000 -4.1500 6.4718" Properties=species:S:1:pos:R:3 pbc="T T T"
Tb 0.0000 0.0000 0.0000
Dy 0.0000 0.0000 5.8827
Dy 0.0000 0.0000 15.6096
Tm 0.0000 0.0000 9.6798
Se -1.0905 -1.8842 7.8114
Se -2.4634 -0.1773 11.0315
Se -1.0865 1.8865 7.8114
Se 1.3852 -2.0447 11.0315
Se 2.1770 -0.0023 7.8114
Se 1.0781 2.2220 11.0315
```

Results
calculated total energy: -57.7 eV/cell
raw formation energy: -1.850 eV per atom
SG: No. 146
M_tot: 0.00 μB/atom


Number 1: density 8395 kg/m³. Number 2: density 8353 kg/m³. Number 3: density 6460 kg/m³.